A plane-wave DFT calculation with PBE-GGA was carried out for a relaxed structure of Ac2La4Tb5.

abc: 9.753 9.753 11.116
angles: 93.20 93.20 22.01
Fractional positions:
Ac 0.094 0.094 0.453
Ac 0.906 0.906 0.547
La 0.182 0.182 0.911
La 0.453 0.453 0.265
La 0.547 0.547 0.735
La 0.818 0.818 0.089
Tb 0.000 0.000 0.000
Tb 0.270 0.270 0.359
Tb 0.364 0.364 0.826
Tb 0.636 0.636 0.174
Tb 0.730 0.730 0.641

* DOS at the Fermi energy: 1.629 states/eV/atom
* E_form: 0.034 eV per atom
* volume: 35.977 A^3/atom
* magnetization: 0.000 μB per atom